[1]
DFT (PBE-GGA) results for an optimized crystal structure of Li17Hg2.

```
data_Li17Hg2
_cell_length_a 7.502
_cell_length_b 7.502
_cell_length_c 7.502
_cell_angle_alpha 67.49
_cell_angle_beta 67.49
_cell_angle_gamma 67.49
_symmetry_space_group_name_H-M 'P 1'
_symmetry_Int_Tables_number 1
_symmetry_space_group_name_Hall 'P 1'
loop_
_atom_site_label
_atom_site_fract_x
_atom_site_fract_y
_atom_site_fract_z
_atom_site_occupancy
Li1 0.000 0.000 0.500 1
Li2 0.000 0.305 0.695 1
Li3 0.000 0.500 0.000 1
Li4 0.000 0.695 0.305 1
Li5 0.099 0.099 0.099 1
Li6 0.197 0.562 0.562 1
Li7 0.305 0.000 0.695 1
Li8 0.305 0.695 0.000 1
Li9 0.438 0.438 0.803 1
Li10 0.438 0.803 0.438 1
Li11 0.500 0.000 0.000 1
Li12 0.562 0.197 0.562 1
Li13 0.562 0.562 0.197 1
Li14 0.695 0.000 0.305 1
Li15 0.695 0.305 0.000 1
Li16 0.803 0.438 0.438 1
Li17 0.901 0.901 0.901 1
Hg1 0.287 0.287 0.287 1
Hg2 0.713 0.713 0.713 1
```

* SG: R-3m, No. 166
* M_tot: 0.00 μB per formula unit
* energy of formation from the pure elements: -26 meV per atom
* E_tot: -1.770 eV/atom
* D(E_F): 9.13 states/eV/cell


[2]
DFT (PBE-GGA) results for an optimized crystal structure of Li3AcIn2.

```
data_Li3AcIn2
_cell_length_a 5.970
_cell_length_b 10.354
_cell_length_c 4.847
_cell_angle_alpha 90.00
_cell_angle_beta 90.00
_cell_angle_gamma 90.00
_symmetry_space_group_name_H-M 'P 1'
_symmetry_Int_Tables_number 1
_symmetry_space_group_name_Hall 'P 1'
loop_
_atom_site_label
_atom_site_fract_x
_atom_site_fract_y
_atom_site_fract_z
_atom_site_occupancy
Li1 0.000 0.000 0.000 1
Li2 0.250 0.250 0.000 1
Li3 0.250 0.750 0.000 1
Li4 0.500 0.500 0.000 1
Li5 0.750 0.250 0.000 1
Li6 0.750 0.750 0.000 1
Ac1 0.000 0.500 0.500 1
Ac2 0.500 0.000 0.500 1
In1 0.000 0.167 0.500 1
In2 0.000 0.833 0.500 1
In3 0.500 0.333 0.500 1
In4 0.500 0.667 0.500 1
```

* SG: Cmmm, No. 65
* M_tot: 0.53 μB per formula unit
* energy relative to the lowest polymorph listed for this composition: 16 meV per atom
* energy of formation from the pure elements: -247 meV per atom
* E_tot: -2.801 eV/atom
* D(E_F): 7.01 states/eV/cell


[3]
DFT (PBE-GGA) results for an optimized crystal structure of ReIr4Pt.

```
data_ReIr4Pt
_cell_length_a 5.108
_cell_length_b 5.108
_cell_length_c 5.108
_cell_angle_alpha 60.00
_cell_angle_beta 60.00
_cell_angle_gamma 60.00
_symmetry_space_group_name_H-M 'P 1'
_symmetry_Int_Tables_number 1
_symmetry_space_group_name_Hall 'P 1'
loop_
_atom_site_label
_atom_site_fract_x
_atom_site_fract_y
_atom_site_fract_z
_atom_site_occupancy
Re1 0.000 0.000 0.000 1
Ir1 0.375 0.375 0.375 1
Ir2 0.375 0.375 0.875 1
Ir3 0.375 0.875 0.375 1
Ir4 0.875 0.375 0.375 1
Pt1 0.750 0.750 0.750 1
```

* SG: F-43m, No. 216
* M_tot: 0.00 μB per formula unit
* energy of formation from the pure elements: 558 meV per atom
* E_tot: -8.431 eV/atom
* D(E_F): 6.17 states/eV/cell


[4]
DFT (PBE-GGA) results for an optimized crystal structure of YMgS2.

```
data_YMgS2
_cell_length_a 3.752
_cell_length_b 3.752
_cell_length_c 19.364
_cell_angle_alpha 90.00
_cell_angle_beta 90.00
_cell_angle_gamma 120.00
_symmetry_space_group_name_H-M 'P 1'
_symmetry_Int_Tables_number 1
_symmetry_space_group_name_Hall 'P 1'
loop_
_atom_site_label
_atom_site_fract_x
_atom_site_fract_y
_atom_site_fract_z
_atom_site_occupancy
Y1 0.000 0.000 0.000 1
Y2 0.333 0.667 0.667 1
Y3 0.667 0.333 0.333 1
Mg1 0.000 0.000 0.500 1
Mg2 0.333 0.667 0.167 1
Mg3 0.667 0.333 0.833 1
S1 0.000 0.000 0.243 1
S2 0.000 0.000 0.757 1
S3 0.333 0.667 0.424 1
S4 0.333 0.667 0.909 1
S5 0.667 0.333 0.091 1
S6 0.667 0.333 0.576 1
```

* SG: R-3m, No. 166
* M_tot: 0.00 μB per formula unit
* formation energy without anion corrections: -626 kJ/mol of formula units
* E_tot: -5.700 eV/atom
* D(E_F): 4.27 states/eV/cell


[5]
DFT (PBE-GGA) results for an optimized crystal structure of KCrHg2.

```
data_KCrHg2
_cell_length_a 3.570
_cell_length_b 5.377
_cell_length_c 11.138
_cell_angle_alpha 90.00
_cell_angle_beta 90.00
_cell_angle_gamma 90.00
_symmetry_space_group_name_H-M 'P 1'
_symmetry_Int_Tables_number 1
_symmetry_space_group_name_Hall 'P 1'
loop_
_atom_site_label
_atom_site_fract_x
_atom_site_fract_y
_atom_site_fract_z
_atom_site_occupancy
K1 0.000 0.000 0.000 1
K2 0.500 0.500 0.500 1
Cr1 0.000 0.500 0.225 1
Cr2 0.500 0.000 0.725 1
Hg1 0.000 0.000 0.521 1
Hg2 0.000 0.500 0.774 1
Hg3 0.500 0.000 0.274 1
Hg4 0.500 0.500 0.021 1
```

* SG: Imm2, No. 44
* M_tot: 4.57 μB per formula unit
* energy relative to the lowest polymorph listed for this composition: 143 meV per atom
* energy of formation from the pure elements: 374 meV per atom
* E_tot: -2.457 eV/atom
* D(E_F): 4.58 states/eV/cell


[6]
DFT (PBE-GGA) results for an optimized crystal structure of FeAsP2N.

```
data_FeAsP2N
_cell_length_a 4.084
_cell_length_b 4.084
_cell_length_c 4.855
_cell_angle_alpha 90.00
_cell_angle_beta 90.00
_cell_angle_gamma 90.00
_symmetry_space_group_name_H-M 'P 1'
_symmetry_Int_Tables_number 1
_symmetry_space_group_name_Hall 'P 1'
loop_
_atom_site_label
_atom_site_fract_x
_atom_site_fract_y
_atom_site_fract_z
_atom_site_occupancy
Fe1 0.000 0.000 0.000 1
As1 0.000 0.000 0.500 1
P1 0.000 0.500 0.000 1
P2 0.500 0.000 0.000 1
N1 0.500 0.500 0.500 1
```

* SG: P4/mmm, No. 123
* M_tot: 0.00 μB per formula unit
* formation energy without anion corrections: 623 kJ/mol of formula units
* E_tot: -5.160 eV/atom
* D(E_F): 4.00 states/eV/cell


[7]
DFT (PBE-GGA) results for an optimized crystal structure of SbMo.

```
data_SbMo
_cell_length_a 11.861
_cell_length_b 3.265
_cell_length_c 7.125
_cell_angle_alpha 90.00
_cell_angle_beta 117.68
_cell_angle_gamma 90.00
_symmetry_space_group_name_H-M 'P 1'
_symmetry_Int_Tables_number 1
_symmetry_space_group_name_Hall 'P 1'
loop_
_atom_site_label
_atom_site_fract_x
_atom_site_fract_y
_atom_site_fract_z
_atom_site_occupancy
Sb1 0.000 0.000 0.000 1
Sb2 0.131 0.500 0.432 1
Sb3 0.289 0.000 0.123 1
Sb4 0.500 0.500 0.000 1
Sb5 0.631 0.000 0.432 1
Sb6 0.789 0.500 0.123 1
Mo1 0.077 0.500 0.758 1
Mo2 0.305 0.000 0.747 1
Mo3 0.387 0.500 0.509 1
Mo4 0.577 0.000 0.758 1
Mo5 0.805 0.500 0.747 1
Mo6 0.887 0.000 0.509 1
```

* SG: Cm, No. 8
* M_tot: 0.00 μB per formula unit
* formation energy without anion corrections: 38 kJ/mol of formula units
* E_tot: -7.279 eV/atom
* D(E_F): 7.02 states/eV/cell


[8]
DFT (PBE-GGA) results for an optimized crystal structure of Li2AsPbO6.

```
data_Li2AsPbO6
_cell_length_a 7.583
_cell_length_b 7.583
_cell_length_c 6.559
_cell_angle_alpha 109.38
_cell_angle_beta 109.38
_cell_angle_gamma 101.82
_symmetry_space_group_name_H-M 'P 1'
_symmetry_Int_Tables_number 1
_symmetry_space_group_name_Hall 'P 1'
loop_
_atom_site_label
_atom_site_fract_x
_atom_site_fract_y
_atom_site_fract_z
_atom_site_occupancy
Li1 0.030 0.226 0.079 1
Li2 0.226 0.030 0.579 1
Li3 0.774 0.970 0.421 1
Li4 0.970 0.774 0.921 1
As1 0.334 0.666 0.250 1
As2 0.666 0.334 0.750 1
Pb1 0.391 0.609 0.750 1
Pb2 0.609 0.391 0.250 1
O1 0.011 0.102 0.370 1
O2 0.102 0.011 0.870 1
O3 0.171 0.655 0.990 1
O4 0.295 0.438 0.271 1
O5 0.345 0.829 0.510 1
O6 0.438 0.295 0.771 1
O7 0.562 0.705 0.229 1
O8 0.655 0.171 0.490 1
O9 0.705 0.562 0.729 1
O10 0.829 0.345 0.010 1
O11 0.898 0.989 0.130 1
O12 0.989 0.898 0.630 1
```

* SG: C2/c, No. 15
* M_tot: 1.00 μB per formula unit
* formation energy without anion corrections: -1245 kJ/mol of formula units
* E_tot: -5.484 eV/atom
* D(E_F): 4.17 states/eV/cell


[9]
DFT (PBE-GGA) results for an optimized crystal structure of BaFeSnOs2.

```
data_BaFeSnOs2
_cell_length_a 4.609
_cell_length_b 4.609
_cell_length_c 5.275
_cell_angle_alpha 90.00
_cell_angle_beta 90.00
_cell_angle_gamma 90.00
_symmetry_space_group_name_H-M 'P 1'
_symmetry_Int_Tables_number 1
_symmetry_space_group_name_Hall 'P 1'
loop_
_atom_site_label
_atom_site_fract_x
_atom_site_fract_y
_atom_site_fract_z
_atom_site_occupancy
Ba1 0.000 0.000 0.000 1
Fe1 0.000 0.000 0.500 1
Sn1 0.500 0.500 0.000 1
Os1 0.000 0.500 0.500 1
Os2 0.500 0.000 0.500 1
```

* SG: P4/mmm, No. 123
* M_tot: 0.00 μB per formula unit
* energy of formation from the pure elements: 1291 meV per atom
* E_tot: -6.079 eV/atom
* D(E_F): 6.67 states/eV/cell


[10]
DFT (PBE-GGA) results for an optimized crystal structure of Cs2MgP2S6.

```
data_Cs2MgP2S6
_cell_length_a 7.824
_cell_length_b 7.824
_cell_length_c 7.824
_cell_angle_alpha 53.27
_cell_angle_beta 53.27
_cell_angle_gamma 53.27
_symmetry_space_group_name_H-M 'P 1'
_symmetry_Int_Tables_number 1
_symmetry_space_group_name_Hall 'P 1'
loop_
_atom_site_label
_atom_site_fract_x
_atom_site_fract_y
_atom_site_fract_z
_atom_site_occupancy
Cs1 0.242 0.242 0.242 1
Cs2 0.758 0.758 0.758 1
Mg1 0.000 0.000 0.000 1
P1 0.441 0.441 0.441 1
P2 0.559 0.559 0.559 1
S1 0.252 0.744 0.744 1
S2 0.256 0.256 0.748 1
S3 0.256 0.748 0.256 1
S4 0.744 0.252 0.744 1
S5 0.744 0.744 0.252 1
S6 0.748 0.256 0.256 1
```

* SG: R-3m, No. 166
* M_tot: 0.00 μB per formula unit
* formation energy without anion corrections: -796 kJ/mol of formula units
* E_tot: -4.285 eV/atom
* D(E_F): 0.02 states/eV/cell